Here is an optimized crystal structure of YIn2WF from Alexandria via LeMat-Bulk. Energies are from PBE with a Hubbard U.

Output
Fermi-level density of states	0.629	states/eV/atom
crystal system	tetragonal
total energy	-3.8712	eV per atom
ρ	5.368	g cm⁻³

Cell lengths 5.4044, 5.4044, 5.5217 Å; angles 90.00, 90.00, 90.00 degrees
Space group P4/mmm (No. 123)
Unique sites:
Y 0.0000 0.0000 0.0000 x1
In 0.0000 0.5000 0.5000 x2
W 0.0000 0.0000 0.5000 x1
F 0.5000 0.5000 0.0000 x1